(1)
# Ca2ZnGe3Rh4 (PBE, relaxed)
# calculated formation energy: -0.722 eV/atom
data_Ca2ZnGe3Rh4
_chemical_formula_sum 'Ca2 Zn1 Ge3 Rh4'
_cell_length_a 4.226
_cell_length_b 4.226
_cell_length_c 10.180
_cell_angle_alpha 90.00
_cell_angle_beta 90.00
_cell_angle_gamma 90.00
_symmetry_space_group_name_H-M 'P -4 m 2'
_symmetry_Int_Tables_number 115
loop_
_symmetry_equiv_pos_as_xyz
'x,y,z'
'y,-x,-z'
'-x,-y,z'
'-y,x,-z'
'-x,y,z'
'-y,-x,-z'
'x,-y,z'
'y,x,-z'
loop_
_atom_site_label
_atom_site_fract_x
_atom_site_fract_y
_atom_site_fract_z
_atom_site_occupancy
Ca1 0.000 0.500 0.250 1
Zn1 0.000 0.000 0.500 1
Ge1 0.000 0.500 0.873 1
Ge2 0.500 0.500 0.500 1
Rh1 0.000 0.000 0.000 1
Rh2 0.000 0.500 0.633 1
Rh3 0.500 0.500 0.000 1

(2)
# CaZrGeRh2 (PBE, relaxed)
# calculated formation energy: 1.317 eV/atom
data_CaZrGeRh2
_chemical_formula_sum 'Ca1 Zr1 Ge1 Rh2'
_cell_length_a 4.638
_cell_length_b 4.638
_cell_length_c 5.236
_cell_angle_alpha 90.00
_cell_angle_beta 90.00
_cell_angle_gamma 90.00
_symmetry_space_group_name_H-M 'P 4/m m m'
_symmetry_Int_Tables_number 123
_symmetry_space_group_name_Hall '-P 4 2'
loop_
_atom_site_label
_atom_site_fract_x
_atom_site_fract_y
_atom_site_fract_z
_atom_site_occupancy
Ca1 0.000 0.000 0.000 1
Zr1 0.000 0.000 0.500 1
Ge1 0.500 0.500 0.500 1
Rh1 0.000 0.500 0.000 1

(3)
# CaGe3Ru (PBE, relaxed)
# calculated formation energy: 1.769 eV/atom
data_CaGe3Ru
_chemical_formula_sum 'Ca1 Ge3 Ru1'
_cell_length_a 5.210
_cell_length_b 5.210
_cell_length_c 5.210
_cell_angle_alpha 90.00
_cell_angle_beta 90.00
_cell_angle_gamma 90.00
_symmetry_space_group_name_H-M 'P m -3 m'
_symmetry_Int_Tables_number 221
_symmetry_space_group_name_Hall '-P 4 2 3'
loop_
_atom_site_label
_atom_site_fract_x
_atom_site_fract_y
_atom_site_fract_z
_atom_site_occupancy
Ca1 0.000 0.000 0.000 1
Ge1 0.000 0.000 0.500 1
Ru1 0.500 0.500 0.500 1

(4)
# CaGe2Ru2 (PBE, relaxed)
# calculated formation energy: -0.267 eV/atom
data_CaGe2Ru2
_chemical_formula_sum 'Ca2 Ge4 Ru4'
_cell_length_a 7.421
_cell_length_b 7.421
_cell_length_c 2.981
_cell_angle_alpha 90.00
_cell_angle_beta 90.00
_cell_angle_gamma 90.00
_symmetry_space_group_name_H-M 'P 4/m b m'
_symmetry_Int_Tables_number 127
_symmetry_space_group_name_Hall '-P 4 2ab'
loop_
_atom_site_label
_atom_site_fract_x
_atom_site_fract_y
_atom_site_fract_z
_atom_site_occupancy
Ca1 0.000 0.000 0.000 1
Ge1 0.153 0.347 0.500 1
Ru1 0.140 0.640 0.000 1

(5)
# CaGeRu3 (PBE, relaxed)
# energy above the most stable polymorph in this dataset: 0.0000 eV per atom
# calculated formation energy: 0.589 eV/atom
data_CaGeRu3
_chemical_formula_sum 'Ca1 Ge1 Ru3'
_cell_length_a 4.618
_cell_length_b 4.618
_cell_length_c 4.618
_cell_angle_alpha 90.00
_cell_angle_beta 90.00
_cell_angle_gamma 90.00
_symmetry_space_group_name_H-M 'P m -3 m'
_symmetry_Int_Tables_number 221
_symmetry_space_group_name_Hall '-P 4 2 3'
loop_
_atom_site_label
_atom_site_fract_x
_atom_site_fract_y
_atom_site_fract_z
_atom_site_occupancy
Ca1 0.000 0.000 0.000 1
Ge1 0.500 0.500 0.500 1
Ru1 0.000 0.500 0.500 1

(6)
# CaGeRu3 (PBE, relaxed)
# energy above the most stable polymorph in this dataset: 1.6139 eV per atom
# calculated formation energy: 2.203 eV/atom
data_CaGeRu3
_chemical_formula_sum 'Ca1 Ge1 Ru3'
_cell_length_a 4.715
_cell_length_b 4.715
_cell_length_c 4.715
_cell_angle_alpha 90.00
_cell_angle_beta 90.00
_cell_angle_gamma 90.00
_symmetry_space_group_name_H-M 'P m -3 m'
_symmetry_Int_Tables_number 221
_symmetry_space_group_name_Hall '-P 4 2 3'
loop_
_atom_site_label
_atom_site_fract_x
_atom_site_fract_y
_atom_site_fract_z
_atom_site_occupancy
Ca1 0.000 0.000 0.000 1
Ge1 0.500 0.500 0.500 1
Ru1 0.000 0.000 0.500 1

(7)
# CaGe12Ru4 (PBE, relaxed)
# calculated formation energy: 0.026 eV/atom
data_CaGe12Ru4
_chemical_formula_sum 'Ca2 Ge24 Ru8'
_cell_length_a 8.716
_cell_length_b 8.716
_cell_length_c 8.716
_cell_angle_alpha 90.00
_cell_angle_beta 90.00
_cell_angle_gamma 90.00
_symmetry_space_group_name_H-M 'I m -3'
_symmetry_Int_Tables_number 204
_symmetry_space_group_name_Hall '-I 2 2 3'
loop_
_atom_site_label
_atom_site_fract_x
_atom_site_fract_y
_atom_site_fract_z
_atom_site_occupancy
Ca1 0.000 0.000 0.000 1
Ge1 0.000 0.346 0.158 1
Ru1 0.250 0.250 0.250 1

(8)
# CaGe3Ru (PBE, relaxed)
# calculated formation energy: -0.389 eV/atom
data_CaGe3Ru
_chemical_formula_sum 'Ca4 Ge12 Ru4'
_cell_length_a 6.102
_cell_length_b 10.603
_cell_length_c 5.881
_cell_angle_alpha 90.00
_cell_angle_beta 90.00
_cell_angle_gamma 90.00
_symmetry_space_group_name_H-M 'C m c m'
_symmetry_Int_Tables_number 63
_symmetry_space_group_name_Hall '-C 2c 2'
loop_
_atom_site_label
_atom_site_fract_x
_atom_site_fract_y
_atom_site_fract_z
_atom_site_occupancy
Ca1 0.000 0.165 0.250 1
Ge1 0.000 0.307 0.750 1
Ge2 0.211 0.097 0.750 1
Ru1 0.000 0.500 0.000 1